Entry 1:
The following is a DFT calculation (PBE) of a relaxed structure of K2InCl3.

Its energy is -3.319 eV per atom. Its density of states at the Fermi level is 0.00 states/eV/f.u. The uncorrected formation energy is -1.574 eV/atom. The calculation puts the total moment at 0.0 μB per formula unit. The space group is No. 59. Its calculated density is 2.5 g/cm³.

Unit cell a=4.530 b=13.605 c=6.385 alpha=90.00 beta=90.00 gamma=90.00
Fractional positions:
K: 0.250 0.084 0.249
K: 0.250 0.416 0.249
K: 0.750 0.584 0.751
K: 0.750 0.916 0.751
In: 0.250 0.750 0.250
In: 0.750 0.250 0.750
Cl: 0.250 0.080 0.750
Cl: 0.250 0.420 0.750
Cl: 0.250 0.750 0.761
Cl: 0.750 0.250 0.239
Cl: 0.750 0.580 0.250
Cl: 0.750 0.920 0.250



Entry 2:
The following is a DFT calculation (PBE) of a relaxed structure of Pr2Sm2Ag.

Its energy is -4.461 eV per atom. Its density of states at the Fermi level is 6.68 states/eV/f.u. Its formation energy from the elements is -91 meV per atom. The calculation puts the total moment at 0.0 μB per formula unit. The space group is No. 139. Its calculated density is 7.3 g/cm³.

Unit cell a=3.694 b=3.694 c=23.152 alpha=90.00 beta=90.00 gamma=90.00
Fractional positions:
Pr: 0.000 0.000 0.193
Pr: 0.000 0.000 0.807
Pr: 0.500 0.500 0.307
Pr: 0.500 0.500 0.693
Sm: 0.000 0.000 0.419
Sm: 0.000 0.000 0.581
Sm: 0.500 0.500 0.081
Sm: 0.500 0.500 0.919
Ag: 0.000 0.000 0.000
Ag: 0.500 0.500 0.500